[1]
DFT (GGA-PBE) results for a geometry-optimized ZrCoCu structure.

```
ZrCoCu
1.0
4.1063 0.0000 0.0000
-2.0531 3.5561 0.0000
0.0000 0.0000 3.1500
Zr Co Cu
1 1 1
Cartesian
0.0000 2.3707 2.1009 Zr
0.0000 0.0000 0.5224 Co
2.0531 1.1854 0.5267 Cu
```

Output
The value obtained for the polymorph energy (0 for the lowest one) is 193 meV/atom.


[2]
DFT (GGA-PBE) results for a geometry-optimized ReSi3O structure.

```
ReSi3O
1.0
-2.1473 -1.2457 3.1045
-1.6570 -2.8086 -2.2731
2.9059 -2.5220 0.9979
Si Re O
3 1 1
Cartesian
1.4530 -1.2610 0.4990 Si
-0.8285 -1.4043 -1.1365 Si
-1.0736 -0.6229 1.5523 Si
-0.4492 -3.2882 0.9147 Re
0.0000 0.0000 0.0000 O
```

Output
For the formation energy without anion corrections, the calculation gives 0.25 eV/atom. The value obtained for the polymorph energy (0 for the lowest one) is 0 meV/atom.


[3]
DFT (GGA-PBE) results for a geometry-optimized HoEr3Pu3Se8 structure.

```
HoEr3Pu3Se8
1.0
-4.8154 6.0183 2.6351
-3.0553 -5.8649 -4.7785
2.0936 -1.7088 7.7287
Se Pu Er Ho
8 3 3 1
Cartesian
-3.5549 0.3295 5.3413 Se
-4.5999 1.1466 1.5654 Se
-3.0977 4.0296 3.9240 Se
-2.2222 -1.8849 0.2440 Se
-0.7271 1.0669 2.6268 Se
-5.0499 -2.6223 2.9584 Se
-2.6794 -5.5849 1.6612 Se
-1.1772 -2.7019 4.0198 Se
-3.9354 0.0767 -1.0717 Pu
0.0000 0.0000 0.0000 Pu
-1.5276 -2.9325 -2.3892 Pu
-0.4808 -3.7868 1.4751 Er
-2.8885 -0.7777 2.7926 Er
-1.3609 2.1548 5.1819 Er
1.0468 -0.8544 3.8643 Ho
```

Output
For the formation energy without anion corrections, the calculation gives -1.70 eV/atom.


[4]
DFT (GGA-PBE) results for a geometry-optimized Ba2FeAu structure.

```
Ba2FeAu
1.0
-3.8972 0.3046 2.6386
2.5845 -0.6464 3.8918
0.8665 6.5898 0.5191
Ba Au Fe
2 1 1
Cartesian
0.7586 5.7693 0.4545 Ba
-0.3317 2.2983 3.4597 Ba
0.1013 5.5914 3.7191 Au
0.3252 2.4735 0.1948 Fe
```

Output
The value obtained for the polymorph energy (0 for the lowest one) is 228 meV/atom.


[5]
DFT (GGA-PBE) results for a geometry-optimized LaTbHg3 structure.

```
LaTbHg3
1.0
3.6040 0.0000 -0.4962
0.0000 5.0153 0.0000
0.2118 0.0000 14.8739
Hg La Tb
6 2 2
Cartesian
1.9151 1.2538 13.9088 Hg
1.9007 3.7615 0.4688 Hg
1.2750 3.7615 9.2604 Hg
2.3004 3.7615 3.3717 Hg
2.5407 1.2538 5.1173 Hg
1.5154 1.2538 11.0059 Hg
0.3065 1.2538 2.2259 La
3.5093 3.7615 12.1517 La
0.8468 3.7615 6.1503 Tb
2.9689 1.2538 8.2273 Tb
```


[6]
DFT (GGA-PBE) results for a geometry-optimized LiRe2Br structure.

```
LiRe2Br
1.0
2.7579 0.0130 0.0000
-1.3199 2.4215 0.0000
0.0000 0.0000 9.7289
Li Re Br
1 2 1
Cartesian
0.7190 1.2173 7.2967 Li
0.0000 0.0000 9.6550 Re
0.0000 0.0000 4.9384 Re
0.7190 1.2173 2.4322 Br
```

Output
For the formation energy without anion corrections, the calculation gives 1.09 eV/atom. The value obtained for the polymorph energy (0 for the lowest one) is 929 meV/atom.


[7]
DFT (GGA-PBE) results for a geometry-optimized YTl3Bi2Te6 structure.

```
YTl3Bi2Te6
1.0
-5.1670 -2.9911 -5.1360
7.7167 -1.1909 -1.0284
-1.3057 -5.3347 6.4333
Y Tl Te Bi
1 3 6 2
Cartesian
0.0000 0.0000 0.0000 Y
4.9054 -4.1598 1.5001 Tl
-3.6613 -5.3569 -1.2312 Tl
0.6220 -4.7584 0.1344 Tl
2.4345 -1.8593 0.6178 Te
1.6138 -4.2715 -3.1897 Te
-1.7962 -2.4505 -0.7310 Te
-1.1904 -7.6574 -0.3489 Te
3.0402 -7.0662 0.9999 Te
-0.3698 -5.2452 3.4586 Te
3.4155 -1.7919 -2.3997 Bi
-0.8657 -2.3901 -3.7647 Bi
```

Output
For the formation energy without anion corrections, the calculation gives -0.56 eV/atom.


[8]
DFT (GGA-PBE) results for a geometry-optimized PaGePt4 structure.

```
PaGePt4
1.0
4.9461 -0.3739 0.0000
-2.9879 7.9490 0.0000
0.0000 0.0000 5.6787
Pa Pt Ge
2 8 2
Cartesian
2.1201 2.7054 4.2590 Pa
-0.1619 4.8697 1.4197 Pa
2.4180 5.2984 0.0002 Pt
0.8290 0.0954 4.2590 Pt
-0.4598 2.2767 5.6784 Pt
-0.1604 4.7636 4.2590 Pt
2.4180 5.2984 2.8391 Pt
1.1292 7.4797 1.4197 Pt
2.1186 2.8116 1.4197 Pt
-0.4598 2.2767 2.8395 Pt
1.7108 0.3075 1.4197 Ge
0.2474 7.2676 4.2590 Ge
```

Output
The value obtained for the polymorph energy (0 for the lowest one) is 0 meV/atom.


no.,raw total energy (eV per cell)
1,-19.9
2,-32.4
3,-114.7
4,-14.7
5,-25.5
6,-24.1
7,-46.9
8,-85.7